{"formula": "BeOsW2", "functional": "PBE", "state": "relaxed", "lattice_angstrom": [[3.741, 0.000, 0.000], [0.000, 3.741, 0.000], [0.000, 0.000, 8.177]], "species": ["Be", "Be", "Os", "Os", "W", "W", "W", "W"], "fractional_positions": [[0.000, 0.000, 0.000], [0.500, 0.500, 0.500], [0.000, 0.500, 0.750], [0.500, 0.000, 0.250], [0.000, 0.000, 0.500], [0.000, 0.500, 0.250], [0.500, 0.000, 0.750], [0.500, 0.500, 0.000]], "sg": "I-4m2 (119)", "dft_energy_ev_per_atom": -9.96}